Arrangement i

PBE Pm4Pr5Er2, optimized geometry; density of states at the Fermi level = 16.90 states/eV/cell; spin magnetization = 0.00 μB per atom
1.0
-0.053 -2.732 -2.262
-4.883 -5.128 6.309
-7.592 7.901 -6.582
Pm Pr Er
4 5 2
Cartesian
-8.129 3.209 -3.684
-3.414 -3.585 4.410
-1.470 -1.543 1.899
-4.399 -3.168 1.149
-8.475 -0.102 -2.458
-5.608 2.908 -6.162
-0.027 -1.366 -1.131
-4.053 0.143 -0.077
-6.920 -2.867 3.627
-7.096 -2.104 -0.074
-5.432 2.144 -2.462

---

Arrangement ii

PBE Pm4Pr5Er2, optimized geometry; density of states at the Fermi level = 16.25 states/eV/cell; spin magnetization = 0.00 μB per atom
1.0
3.530 0.000 -0.667
-0.209 11.767 -1.108
-0.097 0.244 9.169
Pm Pr Er
4 5 2
Cartesian
3.151 8.898 7.006
1.154 2.578 6.113
2.070 9.433 1.281
0.073 3.113 0.388
3.013 5.635 6.276
0.211 6.376 1.118
2.646 11.047 4.329
0.579 0.964 3.065
1.765 0.000 -0.333
0.813 7.690 4.307
2.411 4.321 3.087

---

Quick look at relative energies in kJ/mol of atoms: arrangement i 13.8; arrangement ii 0.0.

---

Arrangement i

PBE PmPr4Er, optimized geometry; density of states at the Fermi level = 11.19 states/eV/cell; spin magnetization = 0.00 μB per atom
1.0
3.508 0.000 0.000
1.754 5.962 -0.253
1.754 0.256 10.210
Er Pr Pm
1 4 1
Cartesian
0.000 0.000 0.000
3.508 2.997 8.518
5.262 5.866 3.244
1.754 0.352 6.713
3.508 3.220 1.439
3.508 3.109 4.979

---

Arrangement ii

PBE PmPr4Er, optimized geometry; density of states at the Fermi level = 9.36 states/eV/cell; spin magnetization = 0.00 μB per atom
1.0
7.893 1.949 1.152
5.095 6.335 1.152
-0.646 -0.412 5.132
Pm Pr Er
1 4 1
Cartesian
6.171 3.936 3.718
4.347 2.773 0.771
1.813 1.157 2.945
10.528 6.715 4.490
7.994 5.099 6.664
0.000 0.000 0.000

---

Quick look at relative energies in kJ/mol of atoms: arrangement i 14.9; arrangement ii 0.0.

---

Arrangement i

PBE Pm2Pr8Er, optimized geometry; density of states at the Fermi level = 17.14 states/eV/cell; spin magnetization = 0.00 μB per atom
1.0
-4.830 -2.621 1.767
3.800 -7.453 -0.667
3.022 5.624 7.175
Er Pr Pm
1 8 2
Cartesian
-2.415 -1.310 0.883
0.800 0.187 2.464
1.048 1.957 5.769
-0.698 0.825 8.746
1.192 -4.637 5.810
0.944 -6.408 2.505
-0.616 -3.348 2.779
2.690 -5.275 -0.472
2.608 -1.102 5.495
-0.919 -0.960 5.493
2.911 -3.490 2.781

---

Arrangement ii

PBE Pm2Pr8Er, optimized geometry; density of states at the Fermi level = 18.35 states/eV/cell; spin magnetization = 0.00 μB per atom
1.0
6.463 1.802 1.367
2.161 9.708 3.018
2.161 5.521 8.537
Pr Pm Er
8 2 1
Cartesian
6.754 6.705 7.150
4.031 10.325 5.772
3.497 6.670 5.061
4.031 8.339 8.390
6.425 5.203 3.948
4.360 11.827 8.974
7.288 10.360 7.861
6.754 8.691 4.532
3.555 3.698 2.806
7.230 13.332 10.115
0.000 0.000 0.000

---

Quick look at relative energies in kJ/mol of atoms: arrangement i 0.0; arrangement ii 4.4.

---

Arrangement i

PBE PmPr3Er4, optimized geometry; density of states at the Fermi level = 29.62 states/eV/cell; spin magnetization = 0.00 μB per atom
1.0
-2.585 1.411 -5.569
-6.406 -2.743 2.279
-3.020 10.411 4.040
Pr Er Pm
6 8 2
Cartesian
-5.893 7.465 1.181
-4.261 4.392 2.060
-7.322 2.260 -3.038
-4.387 2.273 -0.834
-8.836 7.478 -1.013
-5.696 -0.816 -2.156
-3.946 5.792 -1.313
-7.640 0.871 0.341
-9.148 6.067 2.357
-7.528 3.003 3.197
-5.567 8.869 -2.158
-4.054 3.654 -4.182
-2.448 0.585 -3.337
-6.024 -2.208 1.187
-2.747 -0.809 0.031
-7.216 4.389 -0.141

---

Arrangement ii

PBE PmPr3Er4, optimized geometry; density of states at the Fermi level = 24.15 states/eV/cell; spin magnetization = 0.00 μB per atom
1.0
-4.353 -3.037 4.863
-0.973 -5.624 -4.383
8.017 -4.694 4.243
Er Pm Pr
8 2 6
Cartesian
2.692 -6.139 6.563
-0.789 -4.559 -3.552
0.370 -5.087 -0.178
-1.319 -3.790 4.440
1.043 -8.424 1.001
-0.646 -7.131 5.623
-2.478 -3.265 1.071
4.376 -7.433 1.942
-2.965 -6.077 -1.121
1.529 -5.612 3.193
2.209 -8.948 4.368
4.859 -4.623 4.138
-1.802 -6.600 2.245
-0.303 -1.748 -1.360
0.853 -2.278 2.017
-1.132 -9.942 3.431

---

Quick look at relative energies in kJ/mol of atoms: arrangement i 0.7; arrangement ii 0.0.

---

Arrangement i

PBE Pm12PrEr6, optimized geometry; density of states at the Fermi level = 31.68 states/eV/cell; spin magnetization = 0.00 μB per atom
1.0
-3.435 -6.965 3.786
0.466 -4.460 -7.385
7.847 -2.957 2.077
Pm Er Pr
12 6 1
Cartesian
0.322 -3.181 1.665
0.401 -6.403 -1.977
2.880 -2.069 -0.653
3.909 -5.274 -1.407
1.999 -12.314 -0.869
1.787 -6.299 1.483
0.970 -9.109 -0.115
-0.387 -3.046 -1.890
4.477 -7.980 0.456
5.266 -11.337 0.368
4.557 -11.201 -3.187
3.091 -8.084 -3.004
4.640 -4.307 1.696
0.239 -10.076 -3.218
6.379 -8.073 -2.465
-1.500 -6.310 0.943
2.867 -9.813 2.724
2.011 -4.570 -4.246
0.000 0.000 0.000

---

Arrangement ii

PBE Pm12PrEr6, optimized geometry; density of states at the Fermi level = 37.32 states/eV/cell; spin magnetization = 0.00 μB per atom
1.0
-6.074 -5.810 2.638
4.667 0.579 7.449
-4.740 7.385 0.776
Pm Er Pr
12 6 1
Cartesian
-2.729 4.486 4.950
-5.624 -0.194 7.730
-0.299 2.728 6.674
-2.695 1.548 9.042
-5.504 2.835 3.707
-5.849 -0.573 4.189
-0.887 -1.249 3.640
-5.260 3.404 7.223
-3.418 -2.332 5.912
-0.524 2.348 3.133
-3.452 0.606 1.821
-0.643 -0.681 7.155
-8.152 1.613 5.593
-4.026 -3.046 2.568
-2.871 -2.208 9.340
2.005 0.541 5.270
-3.277 4.362 1.523
-2.122 5.201 8.295
0.000 0.000 0.000

---

Quick look at relative energies in kJ/mol of atoms: arrangement i 0.0; arrangement ii 5.6.

---

Arrangement i

PBE PmPr6Er12, optimized geometry; density of states at the Fermi level = 31.02 states/eV/cell; spin magnetization = 0.00 μB per atom
1.0
8.662 -0.152 -1.189
-1.343 8.559 -1.189
-0.132 -0.152 8.742
Er Pr Pm
12 6 1
Cartesian
3.903 1.903 5.719
4.594 5.276 6.506
2.593 2.979 -0.141
1.038 6.352 3.182
2.926 0.582 2.591
3.284 6.352 0.646
4.261 7.673 3.773
5.840 4.127 0.646
0.173 2.979 2.591
1.347 4.127 5.719
6.149 1.903 3.182
7.014 5.276 3.773
-0.033 5.572 -0.029
0.639 0.734 5.486
1.663 7.520 6.393
5.523 0.734 -0.029
6.547 7.520 0.878
7.220 2.683 6.393
0.000 0.000 0.000

---

Arrangement ii

PBE PmPr6Er12, optimized geometry; density of states at the Fermi level = 24.73 states/eV/cell; spin magnetization = 0.00 μB per atom
1.0
-1.327 7.462 4.612
-0.390 -5.994 6.529
8.775 0.435 -1.236
Pr Er Pm
6 12 1
Cartesian
1.008 1.256 8.320
1.380 -2.629 5.542
6.156 -2.325 5.340
5.678 4.531 4.363
0.903 4.228 4.566
6.050 0.647 1.586
3.889 -4.222 5.690
-0.355 3.653 7.201
0.005 -1.520 7.938
3.790 -0.656 7.335
3.523 3.178 6.788
3.269 2.559 2.571
0.657 0.727 4.783
3.169 6.125 4.216
7.053 3.423 1.967
3.536 -1.275 3.117
6.401 1.175 5.122
7.413 -1.750 2.704
0.000 0.000 0.000

---

Quick look at relative energies in kJ/mol of atoms: arrangement i 0.0; arrangement ii 24.4.

---

Arrangement i

PBE Pm12Pr7Er, optimized geometry; density of states at the Fermi level = 29.38 states/eV/cell; spin magnetization = 0.00 μB per atom
1.0
9.488 0.000 -3.354
-4.744 8.217 -3.354
0.000 0.000 10.063
Pm Pr Er
12 7 1
Cartesian
5.989 2.022 -3.352
1.244 6.198 3.352
3.500 2.019 0.002
-1.245 6.195 6.707
2.411 8.214 -3.410
0.001 4.041 -0.002
2.333 0.003 6.764
3.580 6.195 0.055
4.743 4.176 3.357
8.319 2.019 3.410
1.164 2.022 3.299
-3.575 6.198 -0.055
4.744 0.000 -1.677
2.372 4.108 -3.354
-2.372 4.108 3.354
2.372 4.108 1.677
0.000 0.000 5.032
-2.372 4.108 -1.677
4.744 0.000 3.354
0.000 0.000 0.000

---

Arrangement ii

PBE Pm12Pr7Er, optimized geometry; density of states at the Fermi level = 39.91 states/eV/cell; spin magnetization = 0.00 μB per atom
1.0
8.648 1.243 1.865
-1.211 8.652 1.865
-1.211 -1.611 8.703
Pm Er Pr
12 1 7
Cartesian
1.667 7.138 6.737
6.215 2.078 8.388
5.958 3.064 3.161
4.939 7.900 5.148
0.268 5.220 9.273
3.358 5.719 3.252
2.868 2.565 9.182
4.559 1.146 5.697
-0.167 3.448 6.530
0.011 6.206 4.045
1.287 0.384 7.286
6.393 4.836 5.904
0.000 0.000 0.000
3.087 7.365 10.239
0.733 3.481 1.693
3.140 0.919 2.195
3.113 4.142 6.217
5.493 4.803 10.741
0.010 0.766 3.864
6.216 7.518 8.570

---

Quick look at relative energies in kJ/mol of atoms: arrangement i 36.5; arrangement ii 0.0.

---

Arrangement i

PBE Pm7Pr2Er, optimized geometry; density of states at the Fermi level = 15.26 states/eV/cell; spin magnetization = 0.00 μB per atom
1.0
3.498 0.000 0.000
0.000 14.301 -4.842
0.000 -10.773 10.579
Pr Pm Er
2 7 1
Cartesian
1.749 6.890 -0.284
1.749 -3.362 6.021
1.749 1.764 2.869
1.749 5.118 2.834
1.749 3.308 -0.109
0.000 9.595 -1.947
1.749 -1.589 2.903
1.749 0.220 5.846
0.000 -6.067 7.685
0.000 0.000 0.000

---

Arrangement ii

PBE Pm7Pr2Er, optimized geometry; density of states at the Fermi level = 14.60 states/eV/cell; spin magnetization = 0.00 μB per atom
1.0
3.574 0.000 0.000
0.000 9.969 -2.730
0.000 -0.664 10.315
Pm Er Pr
7 1 2
Cartesian
0.000 6.514 1.509
1.787 5.613 7.285
1.787 3.693 0.300
1.787 4.653 3.792
0.000 2.791 6.076
1.787 8.267 4.028
1.787 1.038 3.556
0.000 0.000 0.000
1.787 8.152 -0.501
1.787 1.153 8.085

---

Quick look at relative energies in kJ/mol of atoms: arrangement i 0.0; arrangement ii 22.5.

---

Arrangement i

PBE Pm7PrEr4, optimized geometry; density of states at the Fermi level = 16.78 states/eV/cell; spin magnetization = 0.00 μB per atom
1.0
6.976 1.904 0.839
5.194 7.745 2.409
-0.962 -0.404 8.904
Er Pm Pr
4 7 1
Cartesian
7.142 6.470 5.164
8.431 7.150 8.401
2.776 2.095 3.751
4.066 2.775 6.988
6.258 3.072 4.175
7.856 5.307 1.850
3.612 5.489 4.754
3.488 0.952 0.419
4.950 6.172 7.977
3.352 3.938 10.302
7.596 3.756 7.398
0.000 0.000 0.000

---

Arrangement ii

PBE Pm7PrEr4, optimized geometry; density of states at the Fermi level = 19.72 states/eV/cell; spin magnetization = 0.01 μB per atom
1.0
-1.139 4.215 4.102
-9.466 -0.394 2.150
-2.317 -3.611 7.442
Pr Pm Er
1 7 4
Cartesian
0.000 0.000 0.000
-10.544 0.983 9.185
-3.624 2.542 5.130
-9.298 -2.333 8.564
-0.570 2.107 2.051
-2.378 -0.774 4.510
-7.006 1.068 10.080
-5.916 -0.859 3.614
-6.191 -2.212 9.303
-6.731 2.421 4.392
-4.796 0.271 7.139
-8.126 -0.062 6.556

---

Quick look at relative energies in kJ/mol of atoms: arrangement i 0.0; arrangement ii 19.6.